No. 1
First-principles (PBE) data for an optimized crystal structure of Ta2FeMo, as listed in Alexandria via LeMat-Bulk.

Calculated values
ΔE to the lowest computed polymorph in eV/atom: 0.195
E_tot in eV for the cell shown: -42.92
SG: Cmm2 (35)
ΔE_f in eV per atom: 0.019

Cell and atoms, written as POSCAR:
```
Ta2FeMo
1.0
-2.3996 1.0834 -0.8636
-0.5519 -2.4652 1.1384
-1.0662 3.8197 7.7545
Mo Fe Ta
1 1 2
Direct
0.5000 0.5000 0.7305
0.0000 0.0000 0.5051
0.0000 0.0000 0.9941
0.5000 0.5000 0.2704
```


No. 2
First-principles (PBE) data for an optimized crystal structure of Nd8Dy6Th, as listed in Alexandria via LeMat-Bulk.

Calculated values
E_tot in eV for the cell shown: -71.35
SG: R-3 (148)
ΔE_f in eV per atom: 0.122

Cell and atoms, written as POSCAR:
```
Nd8Dy6Th
1.0
7.8937 0.1375 3.8386
2.4588 7.5023 3.8386
0.1864 0.1375 8.7756
Dy Nd Th
6 8 1
Direct
0.7528 0.9047 0.4628
0.4628 0.7528 0.9047
0.9047 0.4628 0.7528
0.5372 0.2472 0.0953
0.2472 0.0953 0.5372
0.0953 0.5372 0.2472
0.8850 0.2840 0.2437
0.4219 0.4219 0.4219
0.1150 0.7160 0.7563
0.2840 0.2437 0.8850
0.7160 0.7563 0.1150
0.7563 0.1150 0.7160
0.5781 0.5781 0.5781
0.2437 0.8850 0.2840
0.0000 0.0000 0.0000
```


No. 3
First-principles (PBE) data for an optimized crystal structure of ErZn10Pd2, as listed in Alexandria via LeMat-Bulk.

Calculated values
E_tot in eV for the cell shown: -31.42
SG: Fmmm (69)
ΔE_f in eV per atom: -0.287

Cell and atoms, written as POSCAR:
```
ErZn10Pd2
1.0
5.4410 0.0000 0.0000
2.7205 6.2322 0.0000
2.7205 0.0000 6.1644
Zn Pd Er
10 2 1
Direct
0.0000 0.0000 0.5000
0.0039 0.6466 0.3456
0.6505 0.3534 0.3456
0.2852 0.2138 0.2159
0.7148 0.7862 0.7841
0.5010 0.2138 0.7841
0.3495 0.6466 0.6544
0.9961 0.3534 0.6544
0.4990 0.7862 0.2159
0.5000 0.0000 0.5000
0.5000 0.5000 0.0000
0.0000 0.5000 0.0000
0.0000 0.0000 0.0000
```


No. 4
First-principles (PBE) data for an optimized crystal structure of Ca2HoSn, as listed in Alexandria via LeMat-Bulk.

Calculated values
ΔE to the lowest computed polymorph in eV/atom: 0.459
E_tot in eV for the cell shown: -12.21
SG: R-3m (166)
ΔE_f in eV per atom: 0.093

Cell and atoms, written as POSCAR:
```
Ca2HoSn
1.0
-0.5435 -1.3980 3.2789
-2.7121 -2.3121 0.5471
6.4207 -10.7015 -1.5159
Ho Sn Ca
1 1 2
Direct
0.5000 0.5000 0.5000
0.0000 0.0000 0.0000
0.0857 0.0857 0.7429
0.9143 0.9143 0.2571
```


No. 5
First-principles (PBE) data for an optimized crystal structure of Cu3PdCl8, as listed in Alexandria via LeMat-Bulk.

Calculated values
E_tot in eV for the cell shown: -38.12
Formation energy without anion corrections in kJ/mol of formula units: -565
SG: C2/m (12)

Cell and atoms, written as POSCAR:
```
Cu3PdCl8
1.0
-4.5804 -4.0530 -2.6825
8.1502 -1.8453 -2.8149
-1.9881 -2.0907 6.5536
Cl Pd Cu
8 1 3
Direct
0.7540 0.0169 0.7901
0.2628 0.0169 0.7901
0.2716 0.5433 0.2377
0.7284 0.4567 0.7623
0.7660 0.5320 0.2336
0.7372 0.9831 0.2099
0.2460 0.9831 0.2099
0.2340 0.4680 0.7664
0.0000 0.0000 0.0000
0.5000 0.5000 0.0000
0.0000 0.5000 0.0000
0.5000 0.0000 0.0000
```


No. 6
First-principles (PBE) data for an optimized crystal structure of BiO2, as listed in Alexandria via LeMat-Bulk.

Calculated values
ΔE to the lowest computed polymorph in eV/atom: 0.222
E_tot in eV for the cell shown: -32.24
Formation energy without anion corrections in kJ/mol of formula units: -224
SG: P6_3/mmc (194)

Cell and atoms, written as POSCAR:
```
BiO2
1.0
0.4741 3.4660 -0.7147
-2.5595 -1.0208 2.2706
7.6233 0.8037 8.9543
Bi O
2 4
Direct
0.0000 0.0000 0.5000
0.0000 0.0000 0.0000
0.6667 0.3333 0.4157
0.6667 0.3333 0.0843
0.3333 0.6667 0.5843
0.3333 0.6667 0.9157
```


No. 7
First-principles (PBE) data for an optimized crystal structure of Hf4GaGe, as listed in Alexandria via LeMat-Bulk.

Calculated values
ΔE to the lowest computed polymorph in eV/atom: 0.524
E_tot in eV for the cell shown: -95.03
SG: P2_1/c (14)
ΔE_f in eV per atom: -0.010

Cell and atoms, written as POSCAR:
```
Hf4GaGe
1.0
-3.4461 3.4086 4.2440
-4.2428 1.4223 -4.5875
-3.3239 -5.2466 1.4475
Hf Ge Ga
8 2 2
Direct
0.8519 0.1436 0.3581
0.1447 0.3530 0.8534
0.8553 0.6470 0.1466
0.6447 0.1470 0.8534
0.6481 0.6436 0.6419
0.3553 0.8530 0.1466
0.3519 0.3564 0.3581
0.1481 0.8564 0.6419
0.5000 0.0000 0.5000
0.0000 0.5000 0.5000
0.0000 0.0000 0.0000
0.5000 0.5000 0.0000
```


No. 8
First-principles (PBE) data for an optimized crystal structure of AlTcCl3, as listed in Alexandria via LeMat-Bulk.

Calculated values
ΔE to the lowest computed polymorph in eV/atom: 0.297
E_tot in eV for the cell shown: -18.66
Formation energy without anion corrections in kJ/mol of formula units: 96
SG: Pm-3m (221)

Cell and atoms, written as POSCAR:
```
AlTcCl3
1.0
-4.2533 -0.7890 -2.2932
2.4073 -0.8123 -4.1854
0.2940 -4.7634 1.0936
Cl Tc Al
3 1 1
Direct
0.0000 0.5000 0.0000
0.5000 0.0000 0.0000
0.0000 0.0000 0.5000
0.5000 0.5000 0.5000
0.0000 0.0000 0.0000
```


No. 9
First-principles (PBE) data for an optimized crystal structure of La6TbNd2Mg, as listed in Alexandria via LeMat-Bulk.

Calculated values
E_tot in eV for the cell shown: -88.93
SG: C2/c (15)
ΔE_f in eV per atom: 0.086

Cell and atoms, written as POSCAR:
```
La6TbNd2Mg
1.0
9.0017 -2.1659 -2.2477
0.9926 8.6477 -1.0257
0.9926 -1.3455 8.6038
La Nd Mg Tb
12 4 2 2
Direct
0.5991 0.4344 0.6778
0.0821 0.0800 0.7449
0.9179 0.9200 0.2551
0.8256 0.4583 0.0332
0.1744 0.5417 0.9668
0.5821 0.7449 0.0800
0.6744 0.9668 0.5417
0.3256 0.0332 0.4583
0.4179 0.2551 0.9200
0.0991 0.6778 0.4344
0.4009 0.5656 0.3222
0.9009 0.3222 0.5656
0.9075 0.7353 0.8007
0.4075 0.8007 0.7353
0.0925 0.2647 0.1993
0.5925 0.1993 0.2647
0.7500 0.5962 0.4038
0.2500 0.4038 0.5962
0.2500 0.9299 0.0701
0.7500 0.0701 0.9299
```


No. 10
First-principles (PBE) data for an optimized crystal structure of Hf2MgBe2, as listed in Alexandria via LeMat-Bulk.

Calculated values
E_tot in eV for the cell shown: -58.28
SG: P4/mbm (127)
ΔE_f in eV per atom: -0.037

Cell and atoms, written as POSCAR:
```
Hf2MgBe2
1.0
-2.8479 5.7060 -1.5606
-5.6265 -2.0780 2.6700
1.0571 1.4442 3.3516
Be Mg Hf
4 2 4
Direct
0.1182 0.3818 0.0000
0.6182 0.1182 0.0000
0.8818 0.6182 0.0000
0.3818 0.8818 0.0000
0.5000 0.5000 0.0000
0.0000 0.0000 0.0000
0.1680 0.6680 0.5000
0.3320 0.1680 0.5000
0.6680 0.8320 0.5000
0.8320 0.3320 0.5000
```


No. 11
First-principles (PBE) data for an optimized crystal structure of KReSn2Se, as listed in Alexandria via LeMat-Bulk.

Calculated values
E_tot in eV for the cell shown: -15.00
Formation energy without anion corrections in kJ/mol of formula units: 969
SG: P4/mmm (123)

Cell and atoms, written as POSCAR:
```
KReSn2Se
1.0
-2.0796 2.6370 -4.7122
-3.0025 -4.3359 -1.1013
-4.3312 2.2010 3.1431
Se K Re Sn
1 1 1 2
Direct
0.0000 0.5000 0.0000
0.0000 0.0000 0.0000
0.5000 0.5000 0.5000
0.5000 0.0000 0.0000
0.0000 0.0000 0.5000
```


No. 12
First-principles (PBE) data for an optimized crystal structure of AcSmTm4, as listed in Alexandria via LeMat-Bulk.

Calculated values
ΔE to the lowest computed polymorph in eV/atom: 0.000
E_tot in eV for the cell shown: -26.40
SG: P-1 (2)
ΔE_f in eV per atom: 0.053

Cell and atoms, written as POSCAR:
```
AcSmTm4
1.0
-1.4893 1.6533 -2.8613
-7.2637 -5.2584 3.0251
7.2145 9.3444 1.6640
Tm Sm Ac
4 1 1
Direct
0.6698 0.3397 0.9993
0.3302 0.6604 0.0005
0.8393 0.6795 0.5080
0.1607 0.3204 0.4921
0.4999 0.9997 0.4999
0.0000 0.0002 0.0001
```


> The lowest E_tot belongs to which entry?

Hf4GaGe


> Look up the E_tot of the fourth one.

-12.21 eV for the cell shown


> E_tot of number 5 (Cu3PdCl8)?

-38.12 eV for the cell shown


> The lowest E_tot belongs to which entry?

Hf4GaGe